Record 1
Entry from Alexandria: a relaxed structure of AcSClO4 (PBE-GGA).

Results
uncorrected formation energy: -2.23 eV/atom
crystal system: monoclinic
density of states at the Fermi level: 0.0000 states/eV/atom
total energy: -6.50 eV/atom

a b c (Å): 6.3598 6.3598 6.8711
angles (deg): 79.42 79.42 71.49
Closest atoms and distances in Å follow each position.
Positions (direct):
Ac (0.2306, 0.2306, 0.8454)  6 O 2.53-2.76
Ac (0.7694, 0.7694, 0.1546)  6 O 2.53-2.76
S (0.6340, 0.6340, 0.7437)  4 O 1.46-1.51
S (0.3660, 0.3660, 0.2563)  4 O 1.46-1.51
Cl (0.0309, 0.0309, 0.2346)  2 Ac 2.87-2.98, 2 O 3.18
Cl (0.9691, 0.9691, 0.7654)  2 Ac 2.87-2.98, 2 O 3.18
O (0.2940, 0.2940, 0.4673)  1 S 1.47
O (0.7060, 0.7060, 0.5327)  1 S 1.47
O (0.1636, 0.4845, 0.1495)  1 S 1.51
O (0.5100, 0.5100, 0.2378)  1 S 1.46
O (0.5155, 0.8364, 0.8505)  1 S 1.51
O (0.4845, 0.1636, 0.1495)  1 S 1.51
O (0.4900, 0.4900, 0.7622)  1 S 1.46
O (0.8364, 0.5155, 0.8505)  1 S 1.51

---

Record 2
Entry from Alexandria: a relaxed structure of Ac2Sb2ClO6 (PBE-GGA).

Results
uncorrected formation energy: -2.03 eV/atom
crystal system: triclinic
density of states at the Fermi level: 0.3834 states/eV/atom
total energy: -6.40 eV/atom

a b c (Å): 6.3434 7.3996 7.6128
angles (deg): 126.72 102.37 64.80
Closest atoms and distances in Å follow each position.
Positions (direct):
Ac (0.7843, 0.3223, 0.7691)  4 O 2.43-2.63
Ac (0.2157, 0.6777, 0.2309)  4 O 2.43-2.63
Sb (0.0842, 0.7573, 0.8006)  3 O 1.93-2.00
Sb (0.9158, 0.2427, 0.1994)  3 O 1.93-2.00
Cl (0.5000, 0.0000, 0.5000)  2 Ac 3.06
O (0.3948, 0.6383, 0.8840)  1 Sb 1.93
O (0.0309, 0.3947, 0.1148)  1 Sb 2.00
O (0.0949, 0.8454, 0.6033)  1 Sb 1.98
O (0.9691, 0.6053, 0.8852)  1 Sb 2.00
O (0.9051, 0.1546, 0.3967)  1 Sb 1.98
O (0.6052, 0.3617, 0.1160)  1 Sb 1.93

---

Record 3
Entry from Alexandria: a relaxed structure of AcSe2Cl2O6 (PBE-GGA).

Results
uncorrected formation energy: -1.19 eV/atom
crystal system: trigonal
density of states at the Fermi level: 0.3745 states/eV/atom
total energy: -5.24 eV/atom

a b c (Å): 6.3513 6.3513 7.5426
angles (deg): 90.00 90.00 120.00
Closest atoms and distances in Å follow each position.
Positions (direct):
Ac (0.0000, 0.0000, 0.0000)  6 O 2.47
Se (0.3333, 0.6667, 0.7487)  3 O 1.68
Se (0.6667, 0.3333, 0.2513)  3 O 1.68
Cl (0.3333, 0.6667, 0.4353)  1 Se 2.36
Cl (0.6667, 0.3333, 0.5647)  1 Se 2.36
O (0.1895, 0.3791, 0.8240)  1 Se 1.68
O (0.1895, 0.8105, 0.8240)  1 Se 1.68
O (0.6209, 0.8105, 0.8240)  1 Se 1.68
O (0.8105, 0.6209, 0.1760)  1 Se 1.68
O (0.8105, 0.1895, 0.1760)  1 Se 1.68
O (0.3791, 0.1895, 0.1760)  1 Se 1.68

---

Record 4
Entry from Alexandria: a relaxed structure of Ac2Se2ClO6 (PBE-GGA).

Results
uncorrected formation energy: -1.93 eV/atom
crystal system: triclinic
density of states at the Fermi level: 0.1038 states/eV/atom
total energy: -6.18 eV/atom

a b c (Å): 6.1842 6.5748 6.8723
angles (deg): 117.54 95.56 67.89
Closest atoms and distances in Å follow each position.
Positions (direct):
Ac (0.8002, 0.2854, 0.7993)  6 O 2.49-2.78
Ac (0.1998, 0.7146, 0.2007)  6 O 2.49-2.78
Se (0.1828, 0.5516, 0.6368)  3 O 1.76-1.90
Se (0.8172, 0.4484, 0.3632)  3 O 1.76-1.90
Cl (0.5000, 0.0000, 0.5000)  2 Ac 3.08, 2 Se 3.12, 2 O 3.41
O (0.4040, 0.6068, 0.8483)  1 Se 1.90
O (0.0050, 0.4145, 0.1602)  1 Se 1.78
O (0.0817, 0.8369, 0.6316)  1 Se 1.76
O (0.9950, 0.5855, 0.8398)  1 Se 1.78
O (0.9183, 0.1631, 0.3684)  1 Se 1.76
O (0.5960, 0.3932, 0.1517)  1 Se 1.90

---

Record 5
Entry from Alexandria: a relaxed structure of AcSe2ClO6 (PBE-GGA).

Results
uncorrected formation energy: -1.32 eV/atom
crystal system: monoclinic
total energy: -5.58 eV/atom

a b c (Å): 6.1684 8.7082 8.7082
angles (deg): 85.83 76.05 76.05
Closest atoms and distances in Å follow each position.
Positions (direct):
Ac (0.2500, 0.1651, 0.8349)  4 O 2.46
Ac (0.7500, 0.8349, 0.1651)  4 O 2.46
Se (0.3482, 0.7549, 0.5948)  3 O 1.68-1.71
Se (0.1518, 0.4052, 0.2451)  3 O 1.68-1.71
Se (0.6518, 0.2451, 0.4052)  3 O 1.68-1.71
Se (0.8482, 0.5948, 0.7549)  3 O 1.68-1.71
Cl (0.2500, 0.9112, 0.0888)  3 Ac 3.01-3.21
Cl (0.7500, 0.0888, 0.9112)  3 Ac 3.01-3.21
O (0.3115, 0.9358, 0.6675)  1 Se 1.68
O (0.1885, 0.3325, 0.0642)  1 Se 1.68
O (0.6885, 0.0642, 0.3325)  1 Se 1.68
O (0.8115, 0.6675, 0.9358)  1 Se 1.68
O (0.4907, 0.7584, 0.4044)  1 Se 1.68
O (0.0093, 0.5956, 0.2416)  1 Se 1.68
O (0.5093, 0.2416, 0.5956)  1 Se 1.68
O (0.9907, 0.4044, 0.7584)  1 Se 1.68
O (0.0079, 0.6992, 0.6176)  1 Se 1.71
O (0.4921, 0.3824, 0.3008)  1 Se 1.71
O (0.9921, 0.3008, 0.3824)  1 Se 1.71
O (0.5079, 0.6176, 0.6992)  1 Se 1.71

---

Record 6
Entry from Alexandria: a relaxed structure of AcSeClO4 (PBE-GGA).

Results
uncorrected formation energy: -1.78 eV/atom
crystal system: monoclinic
density of states at the Fermi level: 0.0000 states/eV/atom
total energy: -5.96 eV/atom

a b c (Å): 6.5408 6.5408 7.1182
angles (deg): 78.64 78.64 71.88
Closest atoms and distances in Å follow each position.
Positions (direct):
Ac (0.2260, 0.2260, 0.8561)  6 O 2.52-2.78
Ac (0.7740, 0.7740, 0.1439)  6 O 2.52-2.78
Se (0.6362, 0.6362, 0.7392)  4 O 1.65-1.70
Se (0.3638, 0.3638, 0.2608)  4 O 1.65-1.70
Cl (0.0267, 0.0267, 0.2309)  2 Ac 2.89-2.97
Cl (0.9733, 0.9733, 0.7691)  2 Ac 2.89-2.97
O (0.2842, 0.2842, 0.4913)  1 Se 1.65
O (0.7158, 0.7158, 0.5087)  1 Se 1.65
O (0.1465, 0.4870, 0.1424)  1 Se 1.70
O (0.5226, 0.5226, 0.2367)  1 Se 1.65
O (0.5130, 0.8535, 0.8576)  1 Se 1.70
O (0.4870, 0.1465, 0.1424)  1 Se 1.70
O (0.4774, 0.4774, 0.7633)  1 Se 1.65
O (0.8535, 0.5130, 0.8576)  1 Se 1.70

---

Record 7
Entry from Alexandria: a relaxed structure of Ac2SmClO4 (PBE-GGA).

Results
uncorrected formation energy: -3.20 eV/atom
crystal system: tetragonal
density of states at the Fermi level: 0.0000 states/eV/atom
total energy: -7.52 eV/atom

a b c (Å): 4.1217 4.1217 9.5922
angles (deg): 90.00 90.00 90.00
Closest atoms and distances in Å follow each position.
Positions (direct):
Ac (0.5000, 0.5000, 0.2670)  4 O 2.36
Ac (0.5000, 0.5000, 0.7330)  4 O 2.36
Sm (0.0000, 0.0000, 0.0000)  8 O 2.50
Cl (0.0000, 0.0000, 0.5000)  8 Ac 3.67, 8 O 3.96
O (0.0000, 0.5000, 0.1479)  2 Ac 2.36, 2 Sm 2.50
O (0.5000, 0.0000, 0.8521)  2 Ac 2.36, 2 Sm 2.50
O (0.5000, 0.0000, 0.1479)  2 Ac 2.36, 2 Sm 2.50
O (0.0000, 0.5000, 0.8521)  2 Ac 2.36, 2 Sm 2.50

---

Record 8
Entry from Alexandria: a relaxed structure of AcSnClO2 (PBE-GGA).

Results
uncorrected formation energy: -2.33 eV/atom
crystal system: monoclinic
density of states at the Fermi level: 0.0000 states/eV/atom
total energy: -6.31 eV/atom

a b c (Å): 4.2155 7.3442 8.2235
angles (deg): 105.58 90.00 90.00
Closest atoms and distances in Å follow each position.
Positions (direct):
Ac (0.2500, 0.6788, 0.4083)  4 O 2.46-2.51
Ac (0.7500, 0.3212, 0.5917)  4 O 2.46-2.51
Sn (0.2500, 0.6559, 0.9192)  4 O 2.21-2.36
Sn (0.7500, 0.3441, 0.0808)  4 O 2.21-2.36
Cl (0.2500, 0.0563, 0.6924)  3 Ac 3.11-3.13, 1 O 3.43
Cl (0.7500, 0.9437, 0.3076)  3 Ac 3.11-3.13, 1 O 3.43
O (0.7500, 0.5002, 0.3707)  1 Sn 2.35, 3 Ac 2.46-2.51
O (0.2500, 0.4998, 0.6293)  1 Sn 2.35, 3 Ac 2.46-2.51
O (0.7500, 0.5059, 0.8892)  3 Sn 2.21-2.36, 1 Ac 2.46
O (0.2500, 0.4941, 0.1108)  3 Sn 2.21-2.36, 1 Ac 2.46

---

Record 9
Entry from Alexandria: a relaxed structure of SrAcClO2 (PBE-GGA).

Results
uncorrected formation energy: -2.92 eV/atom
crystal system: tetragonal
density of states at the Fermi level: 0.0000 states/eV/atom
total energy: -6.43 eV/atom

a b c (Å): 4.2165 4.2165 7.3160
angles (deg): 106.75 106.75 90.00
Closest atoms and distances in Å follow each position.
Positions (direct):
Sr (0.8379, 0.8379, 0.6757)  4 O 2.43
Ac (0.1638, 0.1638, 0.3276)  4 O 2.39
Cl (0.5035, 0.5035, 0.0069)  4 Ac 3.67, 4 Sr 3.71, 8 O 3.88-4.02
O (0.7474, 0.2474, 0.4949)  2 Ac 2.39, 2 Sr 2.43
O (0.2474, 0.7474, 0.4949)  2 Ac 2.39, 2 Sr 2.43

---

Record 10
Entry from Alexandria: a relaxed structure of AcTaClO4 (PBE-GGA).

Results
uncorrected formation energy: -2.63 eV/atom
crystal system: monoclinic
density of states at the Fermi level: 0.0000 states/eV/atom
total energy: -8.00 eV/atom

a b c (Å): 7.7297 7.7297 6.6478
angles (deg): 71.36 71.36 60.30
Closest atoms and distances in Å follow each position.
Positions (direct):
Ac (0.1935, 0.1935, 0.9246)  5 O 2.44-2.71
Ac (0.8065, 0.8065, 0.0754)  5 O 2.44-2.71
Ta (0.6488, 0.6488, 0.7503)  4 O 1.82-2.00
Ta (0.3512, 0.3512, 0.2497)  4 O 1.82-2.00
Cl (0.9727, 0.9727, 0.2701)  2 Ac 2.96-3.00
Cl (0.0273, 0.0273, 0.7299)  2 Ac 2.96-3.00
O (0.3122, 0.3122, 0.5431)  1 Ta 1.82
O (0.6878, 0.6878, 0.4569)  1 Ta 1.82
O (0.1080, 0.4678, 0.1567)  1 Ta 1.85
O (0.5115, 0.5115, 0.1056)  1 O 1.54
O (0.5322, 0.8920, 0.8433)  1 Ta 1.85
O (0.4678, 0.1080, 0.1567)  1 Ta 1.85
O (0.4885, 0.4885, 0.8944)  1 O 1.54
O (0.8920, 0.5322, 0.8433)  1 Ta 1.85